[1]
DFT (PBE-GGA) results for a geometry-optimized Pm3ZnPd3 structure.

a = 8.7003 Å, b = 8.7003 Å, c = 5.7725 Å
α = 90.00°, β = 90.00°, γ = 120.00°
Fractional positions:
Pm 0.0475 0.6855 0.2500
Pm 0.3145 0.3620 0.2500
Pm 0.3620 0.0475 0.7500
Pm 0.6380 0.9525 0.2500
Pm 0.6855 0.6380 0.7500
Pm 0.9525 0.3145 0.7500
Zn 0.3333 0.6667 0.7500
Zn 0.6667 0.3333 0.2500
Pd 0.0482 0.6893 0.7500
Pd 0.3107 0.3589 0.7500
Pd 0.3589 0.0482 0.2500
Pd 0.6411 0.9518 0.7500
Pd 0.6893 0.6411 0.2500
Pd 0.9518 0.3107 0.2500

## Properties
**Energy of formation from the pure elements**: -0.521 eV per atom

[2]
DFT (PBE-GGA) results for a geometry-optimized PmZn3Pd structure.

a = 6.4670 Å, b = 6.4670 Å, c = 5.7774 Å
α = 90.00°, β = 90.00°, γ = 127.30°
Fractional positions:
Pm 0.2469 0.7531 0.7500
Pm 0.7531 0.2469 0.2500
Zn 0.1327 0.8673 0.2500
Zn 0.2593 0.2593 0.0000
Zn 0.2593 0.2593 0.5000
Zn 0.7407 0.7407 0.0000
Zn 0.7407 0.7407 0.5000
Zn 0.8673 0.1327 0.7500
Pd 0.3525 0.6475 0.2500
Pd 0.6475 0.3525 0.7500

## Properties
**Energy of formation from the pure elements**: -0.452 eV per atom

[3]
DFT (PBE-GGA) results for a geometry-optimized Pm6ZnPd5 structure.

a = 6.9777 Å, b = 6.9777 Å, c = 7.3138 Å
α = 98.20°, β = 98.20°, γ = 114.75°
Fractional positions:
Pm 0.0518 0.4010 0.7249
Pm 0.2126 0.2126 0.2195
Pm 0.4010 0.0518 0.7249
Pm 0.5990 0.9482 0.2751
Pm 0.7874 0.7874 0.7805
Pm 0.9482 0.5990 0.2751
Zn 0.5000 0.5000 0.0000
Pd 0.0000 0.0000 0.5000
Pd 0.1893 0.8107 0.0000
Pd 0.3659 0.6341 0.5000
Pd 0.6341 0.3659 0.5000
Pd 0.8107 0.1893 0.0000

## Properties
**Energy of formation from the pure elements**: -0.576 eV per atom

[4]
DFT (PBE-GGA) results for a geometry-optimized Pm2ZnPd4 structure.

a = 4.9328 Å, b = 5.0345 Å, c = 7.1555 Å
α = 71.79°, β = 84.01°, γ = 67.78°
Fractional positions:
Pm 0.0092 0.3492 0.2812
Pm 0.9908 0.6508 0.7188
Zn 0.5000 0.0000 0.0000
Pd 0.0000 0.0000 0.0000
Pd 0.3438 0.6919 0.3398
Pd 0.5000 0.5000 0.0000
Pd 0.6562 0.3081 0.6602

## Properties
**Energy of formation from the pure elements**: -0.622 eV per atom

[5]
DFT (PBE-GGA) results for a geometry-optimized PmZn2Pd structure.

a = 3.3422 Å, b = 3.3422 Å, c = 6.8118 Å
α = 90.00°, β = 90.00°, γ = 90.00°
Fractional positions:
Pm 0.0000 0.0000 0.0000
Zn 0.5000 0.5000 0.3083
Zn 0.5000 0.5000 0.6917
Pd 0.0000 0.0000 0.5000

## Properties
**Energy of formation from the pure elements**: -0.409 eV per atom

[6]
DFT (PBE-GGA) results for a geometry-optimized PmZn2Pd structure.

a = 4.4557 Å, b = 9.7295 Å, c = 7.6157 Å
α = 90.00°, β = 90.00°, γ = 90.00°
Fractional positions:
Pm 0.0000 0.0360 0.2500
Pm 0.0000 0.9640 0.7500
Pm 0.5000 0.4640 0.7500
Pm 0.5000 0.5360 0.2500
Zn 0.0000 0.2692 0.5817
Zn 0.0000 0.2692 0.9183
Zn 0.0000 0.7308 0.0817
Zn 0.0000 0.7308 0.4183
Zn 0.5000 0.2308 0.0817
Zn 0.5000 0.2308 0.4183
Zn 0.5000 0.7692 0.5817
Zn 0.5000 0.7692 0.9183
Pd 0.0000 0.3378 0.2500
Pd 0.0000 0.6622 0.7500
Pd 0.5000 0.1622 0.7500
Pd 0.5000 0.8378 0.2500

## Properties
**Energy of formation from the pure elements**: -0.414 eV per atom

[7]
DFT (PBE-GGA) results for a geometry-optimized Pm7Zn2Pd2 structure.

a = 6.8249 Å, b = 6.8249 Å, c = 7.3384 Å
α = 90.00°, β = 90.00°, γ = 109.66°
Fractional positions:
Pm 0.0000 0.0000 0.0000
Pm 0.0000 0.5000 0.2691
Pm 0.0000 0.5000 0.7309
Pm 0.5000 0.0000 0.2691
Pm 0.5000 0.0000 0.7309
Pm 0.5000 0.5000 0.2627
Pm 0.5000 0.5000 0.7373
Zn 0.1631 0.1631 0.5000
Zn 0.8369 0.8369 0.5000
Pd 0.2938 0.7062 0.0000
Pd 0.7062 0.2938 0.0000

## Properties
**Energy of formation from the pure elements**: -0.222 eV per atom

[8]
DFT (PBE-GGA) results for a geometry-optimized Pm2ZnPd2 structure.

a = 7.3513 Å, b = 7.3513 Å, c = 7.3513 Å
α = 122.52°, β = 77.84°, γ = 132.30°
Fractional positions:
Pm 0.1428 0.1705 0.3133
Pm 0.3572 0.6705 0.0277
Pm 0.6428 0.3295 0.9723
Pm 0.8572 0.8295 0.6867
Zn 0.2500 0.7500 0.5000
Zn 0.7500 0.2500 0.5000
Pd 0.1110 0.7500 0.8610
Pd 0.3890 0.2500 0.6390
Pd 0.6110 0.7500 0.3610
Pd 0.8890 0.2500 0.1390

## Properties
**Energy of formation from the pure elements**: -0.611 eV per atom

[9]
DFT (PBE-GGA) results for a geometry-optimized Pm3Zn2Pd structure.

a = 5.1367 Å, b = 5.1367 Å, c = 6.3433 Å
α = 90.00°, β = 90.00°, γ = 120.00°
Fractional positions:
Pm 0.0000 0.0000 0.0000
Pm 0.3333 0.6667 0.6570
Pm 0.6667 0.3333 0.3430
Zn 0.3333 0.6667 0.1471
Zn 0.6667 0.3333 0.8529
Pd 0.0000 0.0000 0.5000

## Properties
**Energy of formation from the pure elements**: -0.464 eV per atom

[10]
DFT (PBE-GGA) results for a geometry-optimized Pm3Zn3Pd structure.

a = 3.7081 Å, b = 4.5317 Å, c = 19.5848 Å
α = 90.00°, β = 90.00°, γ = 90.00°
Fractional positions:
Pm 0.0000 0.0000 0.0000
Pm 0.0000 0.0000 0.3780
Pm 0.0000 0.5000 0.1971
Pm 0.5000 0.0000 0.6971
Pm 0.5000 0.5000 0.5000
Pm 0.5000 0.5000 0.8780
Zn 0.0000 0.0000 0.5541
Zn 0.0000 0.0000 0.8310
Zn 0.0000 0.5000 0.6250
Zn 0.5000 0.0000 0.1250
Zn 0.5000 0.5000 0.0541
Zn 0.5000 0.5000 0.3310
Pd 0.0000 0.5000 0.7578
Pd 0.5000 0.0000 0.2578

## Properties
**Energy of formation from the pure elements**: -0.447 eV per atom

[11]
DFT (PBE-GGA) results for a geometry-optimized Pm3Zn9Pd2 structure.

a = 8.3186 Å, b = 8.3186 Å, c = 8.3186 Å
α = 149.67°, β = 114.35°, γ = 74.01°
Fractional positions:
Pm 0.0000 0.0000 0.0000
Pm 0.3060 0.3060 0.0000
Pm 0.6940 0.6940 0.0000
Zn 0.0271 0.6694 0.3576
Zn 0.1545 0.8719 0.2826
Zn 0.3118 0.6694 0.6424
Zn 0.4107 0.1281 0.2826
Zn 0.5000 0.0000 0.5000
Zn 0.5893 0.8719 0.7174
Zn 0.6882 0.3306 0.3576
Zn 0.8455 0.1281 0.7174
Zn 0.9729 0.3306 0.6424
Pd 0.2948 0.5000 0.7948
Pd 0.7052 0.5000 0.2052

## Properties
**Energy of formation from the pure elements**: -0.456 eV per atom

[12]
DFT (PBE-GGA) results for a geometry-optimized Pm2Zn2Pd3 structure.

a = 9.6582 Å, b = 9.6582 Å, c = 7.4694 Å
α = 90.00°, β = 90.00°, γ = 155.66°
Fractional positions:
Pm 0.0611 0.9389 0.7500
Pm 0.1549 0.8451 0.2500
Pm 0.8451 0.1549 0.7500
Pm 0.9389 0.0611 0.2500
Zn 0.3065 0.6935 0.0531
Zn 0.3065 0.6935 0.4469
Zn 0.6935 0.3065 0.5531
Zn 0.6935 0.3065 0.9469
Pd 0.2242 0.7758 0.7500
Pd 0.4349 0.5651 0.5637
Pd 0.4349 0.5651 0.9363
Pd 0.5651 0.4349 0.0637
Pd 0.5651 0.4349 0.4363
Pd 0.7758 0.2242 0.2500

## Properties
**Energy of formation from the pure elements**: -0.689 eV per atom

[13]
DFT (PBE-GGA) results for a geometry-optimized Pm3Zn4Pd2 structure.

a = 5.8523 Å, b = 5.8523 Å, c = 8.5867 Å
α = 111.45°, β = 111.45°, γ = 45.18°
Fractional positions:
Pm 0.0000 0.0000 0.0000
Pm 0.3217 0.3217 0.3469
Pm 0.6783 0.6783 0.6531
Zn 0.0367 0.0367 0.3751
Zn 0.2796 0.2796 0.9480
Zn 0.7204 0.7204 0.0520
Zn 0.9633 0.9633 0.6249
Pd 0.4005 0.4005 0.7325
Pd 0.5995 0.5995 0.2675

## Properties
**Energy of formation from the pure elements**: -0.565 eV per atom

[14]
DFT (PBE-GGA) results for a geometry-optimized Pm3Zn8Pd structure.

a = 9.6040 Å, b = 9.6040 Å, c = 9.6040 Å
α = 32.48°, β = 32.48°, γ = 32.48°
Fractional positions:
Pm 0.0000 0.0000 0.0000
Pm 0.1276 0.1276 0.1276
Pm 0.6150 0.6150 0.6150
Zn 0.0581 0.0581 0.5588
Zn 0.0581 0.5588 0.0581
Zn 0.0643 0.5615 0.5615
Zn 0.3086 0.3086 0.3086
Zn 0.5588 0.0581 0.0581
Zn 0.5615 0.0643 0.5615
Zn 0.5615 0.5615 0.0643
Zn 0.8116 0.8116 0.8116
Pd 0.5035 0.5035 0.5035

## Properties
**Energy of formation from the pure elements**: -0.339 eV per atom

[15]
DFT (PBE-GGA) results for a geometry-optimized PmZnPd structure.

a = 3.5586 Å, b = 3.5586 Å, c = 9.7535 Å
α = 90.00°, β = 90.00°, γ = 90.00°
Fractional positions:
Pm 0.0000 0.0000 0.0000
Pm 0.5000 0.5000 0.5000
Zn 0.0000 0.0000 0.3067
Zn 0.5000 0.5000 0.8067
Pd 0.0000 0.0000 0.6878
Pd 0.5000 0.5000 0.1878

## Properties
**Energy of formation from the pure elements**: -0.553 eV per atom

[16]
DFT (PBE-GGA) results for a geometry-optimized PmZrPd structure.

a = 3.4832 Å, b = 3.4832 Å, c = 11.6585 Å
α = 90.00°, β = 90.00°, γ = 90.00°
Fractional positions:
Pm 0.0000 0.0000 0.0000
Pm 0.5000 0.5000 0.5000
Zr 0.0000 0.0000 0.2983
Zr 0.5000 0.5000 0.7983
Pd 0.0000 0.0000 0.6786
Pd 0.5000 0.5000 0.1786

## Properties
**Energy of formation from the pure elements**: -0.377 eV per atom

[17]
DFT (PBE-GGA) results for a geometry-optimized Pm2ZrPd structure.

a = 3.5903 Å, b = 3.5903 Å, c = 8.0189 Å
α = 90.00°, β = 90.00°, γ = 90.00°
Fractional positions:
Pm 0.0000 0.0000 0.2207
Pm 0.0000 0.0000 0.7793
Zr 0.5000 0.5000 0.5000
Pd 0.5000 0.5000 0.0000

## Properties
**Energy of formation from the pure elements**: -0.273 eV per atom

[18]
DFT (PBE-GGA) results for a geometry-optimized PmZrPd structure.

a = 3.9507 Å, b = 3.9507 Å, c = 19.5349 Å
α = 90.00°, β = 90.00°, γ = 90.00°
Fractional positions:
Pm 0.0000 0.0000 0.1073
Pm 0.0000 0.0000 0.8927
Pm 0.5000 0.5000 0.3927
Pm 0.5000 0.5000 0.6073
Zr 0.0000 0.0000 0.2814
Zr 0.0000 0.0000 0.7186
Zr 0.5000 0.5000 0.2186
Zr 0.5000 0.5000 0.7814
Pd 0.0000 0.0000 0.4317
Pd 0.0000 0.0000 0.5683
Pd 0.5000 0.5000 0.0683
Pd 0.5000 0.5000 0.9317

## Properties
**Energy of formation from the pure elements**: -0.283 eV per atom

[19]
DFT (PBE-GGA) results for a geometry-optimized PmZr2Pd structure.

a = 3.4155 Å, b = 3.4155 Å, c = 7.8467 Å
α = 90.00°, β = 90.00°, γ = 90.00°
Fractional positions:
Pm 0.0000 0.0000 0.0000
Zr 0.5000 0.5000 0.2940
Zr 0.5000 0.5000 0.7060
Pd 0.0000 0.0000 0.5000

## Properties
**Energy of formation from the pure elements**: -0.212 eV per atom

[20]
DFT (PBE-GGA) results for a geometry-optimized PmZrPd3 structure.

a = 13.7118 Å, b = 13.7118 Å, c = 4.2998 Å
α = 90.00°, β = 90.00°, γ = 165.14°
Fractional positions:
Pm 0.0758 0.9242 0.7500
Pm 0.9242 0.0758 0.2500
Zr 0.2076 0.7924 0.2500
Zr 0.7924 0.2076 0.7500
Pd 0.3086 0.6914 0.2500
Pd 0.3726 0.6274 0.7500
Pd 0.4711 0.5289 0.7500
Pd 0.5289 0.4711 0.2500
Pd 0.6274 0.3726 0.2500
Pd 0.6914 0.3086 0.7500

## Properties
**Energy of formation from the pure elements**: -0.686 eV per atom

[21]
DFT (PBE-GGA) results for a geometry-optimized Pr5Pd structure.

a = 4.7684 Å, b = 16.2150 Å, c = 4.8656 Å
α = 90.00°, β = 90.00°, γ = 90.00°
Fractional positions:
Pr 0.0000 0.0000 0.0000
Pr 0.0000 0.1623 0.5000
Pr 0.0000 0.3362 0.0000
Pr 0.0000 0.6638 0.0000
Pr 0.0000 0.8377 0.5000
Pr 0.5000 0.1638 0.0000
Pr 0.5000 0.3377 0.5000
Pr 0.5000 0.5000 0.0000
Pr 0.5000 0.6623 0.5000
Pr 0.5000 0.8362 0.0000
Pd 0.0000 0.5000 0.5000
Pd 0.5000 0.0000 0.5000

## Properties
**Energy of formation from the pure elements**: -0.051 eV per atom

[22]
DFT (PBE-GGA) results for a geometry-optimized PrPd3 structure.

a = 4.2650 Å, b = 4.2650 Å, c = 8.4065 Å
α = 90.00°, β = 90.00°, γ = 90.00°
Fractional positions:
Pr 0.0000 0.0000 0.0000
Pr 0.5000 0.5000 0.5000
Pd 0.0000 0.0000 0.5000
Pd 0.0000 0.5000 0.2500
Pd 0.0000 0.5000 0.7500
Pd 0.5000 0.0000 0.2500
Pd 0.5000 0.0000 0.7500
Pd 0.5000 0.5000 0.0000

## Properties
**Energy of formation from the pure elements**: -0.646 eV per atom

[23]
DFT (PBE-GGA) results for a geometry-optimized Pr2Pd7 structure.

a = 13.9656 Å, b = 13.9656 Å, c = 13.9656 Å
α = 22.39°, β = 22.39°, γ = 22.39°
Fractional positions:
Pr 0.0491 0.0491 0.0491
Pr 0.1465 0.1465 0.1465
Pr 0.8535 0.8535 0.8535
Pr 0.9509 0.9509 0.9509
Pd 0.0000 0.5000 0.5000
Pd 0.1093 0.6130 0.6130
Pd 0.2773 0.2773 0.2773
Pd 0.3870 0.3870 0.8907
Pd 0.3870 0.8907 0.3870
Pd 0.3892 0.3892 0.3892
Pd 0.5000 0.0000 0.5000
Pd 0.5000 0.5000 0.0000
Pd 0.5000 0.5000 0.5000
Pd 0.6108 0.6108 0.6108
Pd 0.6130 0.1093 0.6130
Pd 0.6130 0.6130 0.1093
Pd 0.7227 0.7227 0.7227
Pd 0.8907 0.3870 0.3870

## Properties
**Energy of formation from the pure elements**: -0.636 eV per atom

[24]
DFT (PBE-GGA) results for a geometry-optimized Pr3Pd structure.

a = 9.3248 Å, b = 9.3248 Å, c = 6.2212 Å
α = 109.38°, β = 109.38°, γ = 83.69°
Fractional positions:
Pr 0.0000 0.0000 0.0000
Pr 0.9998 0.2833 0.6417
Pr 0.1681 0.6412 0.1557
Pr 0.3581 0.0512 0.4829
Pr 0.3583 0.2323 0.0734
Pr 0.3586 0.4513 0.6555
Pr 0.3588 0.8319 0.8443
Pr 0.5487 0.6414 0.3445
Pr 0.7167 0.0002 0.3583
Pr 0.7167 0.2833 0.0000
Pr 0.7677 0.6417 0.9266
Pr 0.9488 0.6419 0.5171
Pd 0.0612 0.3443 0.2032
Pd 0.0612 0.9388 0.5000
Pd 0.6553 0.3447 0.5000
Pd 0.6557 0.9388 0.7968

## Properties
**Energy of formation from the pure elements**: -0.334 eV per atom